# 1
First-principles (PBE) data for a relaxed PaZnGa2Pt2 crystal, as listed in Alexandria.

Cell: 4.3891 4.3891 6.4622 Å, 90.00 90.00 120.00°
Last column: nearest neighbours and their distance in Å.
Fractional positions:
Pa  0.0000  0.0000  0.0000  6 Pt 3.05, 6 Ga 3.20, 2 Zn 3.23
Zn  0.0000  0.0000  0.5000  6 Ga 2.84, 6 Pt 2.96
Ga  0.3333  0.6667  0.3030  4 Pt 2.55-2.81, 3 Zn 2.84
Ga  0.6667  0.3333  0.6970  4 Pt 2.55-2.81, 3 Zn 2.84
Pt  0.3333  0.6667  0.7379  4 Ga 2.55-2.81
Pt  0.6667  0.3333  0.2621  4 Ga 2.55-2.81

Summary:
Crystal system ... trigonal
Formation energy ... -381 kJ/mol of formula units

# 2
First-principles (PBE) data for a relaxed Na2CeTe4Pb crystal, as listed in Alexandria.

Cell: 7.8811 4.5734 7.9689 Å, 90.00 109.21 90.00°
Last column: nearest neighbours and their distance in Å.
Fractional positions:
Na  0.0000  0.0000  0.0000  6 Te 3.35-3.39
Na  0.0000  0.5000  0.5000  6 Te 3.23-3.24
Ce  0.5000  0.0000  0.5000  6 Te 3.08-3.14
Te  0.2613  0.0000  0.7374  1 Ce 3.08, 3 Na 3.24-3.39, 2 Pb 3.25
Te  0.2658  0.5000  0.2663  2 Ce 3.14, 3 Na 3.23-3.35, 1 Pb 3.24
Te  0.7342  0.5000  0.7337  2 Ce 3.14, 3 Na 3.23-3.35, 1 Pb 3.24
Te  0.7387  0.0000  0.2626  1 Ce 3.08, 3 Na 3.24-3.39, 2 Pb 3.25
Pb  0.5000  0.5000  0.0000  6 Te 3.24-3.25

Summary:
Energy relative to the elements, uncorrected ... -0.9292 eV per atom
Crystal system ... monoclinic

# 3
First-principles (PBE) data for a relaxed CsH4Au crystal, as listed in Alexandria.

Cell: 5.7045 7.0695 5.1089 Å, 90.00 90.68 90.00°
Last column: nearest neighbours and their distance in Å.
Fractional positions:
Cs  0.0000  0.2085  0.2500  6 H 2.84-3.15
Cs  0.0000  0.7915  0.7500  6 H 2.84-3.15
H  0.2868  0.2105  0.7814  1 Au 1.69
H  0.2868  0.7895  0.2814  1 Au 1.69
H  0.3312  0.4714  0.4545  2 Au 1.80-1.91
H  0.3312  0.5286  0.9545  2 Au 1.80-1.91
H  0.6688  0.4714  0.0455  2 Au 1.80-1.91
H  0.6688  0.5286  0.5455  2 Au 1.80-1.91
H  0.7132  0.2105  0.7186  1 Au 1.69
H  0.7132  0.7895  0.2186  1 Au 1.69
Au  0.5000  0.3742  0.7500  4 H 1.69-1.80
Au  0.5000  0.6258  0.2500  4 H 1.69-1.80

Summary:
Crystal system ... monoclinic
Relative energy among the computed polymorphs ... 154.3 meV per atom

# 4
First-principles (PBE) data for a relaxed CeIn2Pd5 crystal, as listed in Alexandria.

Cell: 4.2272 5.6925 13.0755 Å, 90.00 90.00 90.00°
Last column: nearest neighbours and their distance in Å.
Fractional positions:
Ce  0.0000  0.0000  0.0000  10 Pd 2.85-2.94
Ce  0.5000  0.5000  0.5000  10 Pd 2.85-2.94
In  0.0000  0.5000  0.2144  7 Pd 2.72-2.88
In  0.0000  0.5000  0.7856  7 Pd 2.72-2.88
In  0.5000  0.0000  0.2856  7 Pd 2.72-2.88
In  0.5000  0.0000  0.7144  7 Pd 2.72-2.88
Pd  0.0000  0.2450  0.3900  3 In 2.72-2.88, 5 Pd 2.79-2.91, 2 Ce 2.94
Pd  0.0000  0.2450  0.6100  3 In 2.72-2.88, 5 Pd 2.79-2.91, 2 Ce 2.94
Pd  0.0000  0.5000  0.0000  2 In 2.80, 2 Ce 2.85, 8 Pd 2.91
Pd  0.0000  0.7550  0.3900  3 In 2.72-2.88, 5 Pd 2.79-2.91, 2 Ce 2.94
Pd  0.0000  0.7550  0.6100  3 In 2.72-2.88, 5 Pd 2.79-2.91, 2 Ce 2.94
Pd  0.5000  0.0000  0.5000  2 In 2.80, 2 Ce 2.85, 8 Pd 2.91
Pd  0.5000  0.2550  0.1100  3 In 2.72-2.88, 5 Pd 2.79-2.91, 2 Ce 2.94
Pd  0.5000  0.2550  0.8900  3 In 2.72-2.88, 5 Pd 2.79-2.91, 2 Ce 2.94
Pd  0.5000  0.7450  0.1100  3 In 2.72-2.88, 5 Pd 2.79-2.91, 2 Ce 2.94
Pd  0.5000  0.7450  0.8900  3 In 2.72-2.88, 5 Pd 2.79-2.91, 2 Ce 2.94

Summary:
Crystal system ... orthorhombic
Formation energy ... -463 kJ/mol of formula units

# 5
First-principles (PBE) data for a relaxed LiRe2Ir2 crystal, as listed in Alexandria.

Cell: 7.6830 7.6830 2.7082 Å, 90.00 90.00 90.00°
Last column: nearest neighbours and their distance in Å.
Fractional positions:
Li  0.0000  0.0000  0.0000  2 Li 2.71
Li  0.5000  0.5000  0.0000  2 Li 2.71
Re  0.1696  0.3304  0.5000  6 Ir 2.61-2.66, 2 Re 2.71
Re  0.3304  0.8304  0.5000  6 Ir 2.61-2.66, 2 Re 2.71
Re  0.6696  0.1696  0.5000  6 Ir 2.61-2.66, 2 Re 2.71
Re  0.8304  0.6696  0.5000  6 Ir 2.61-2.66, 2 Re 2.71
Ir  0.1247  0.6247  0.0000  6 Re 2.61-2.66, 3 Ir 2.71
Ir  0.3753  0.1247  0.0000  6 Re 2.61-2.66, 3 Ir 2.71
Ir  0.6247  0.8753  0.0000  6 Re 2.61-2.66, 3 Ir 2.71
Ir  0.8753  0.3753  0.0000  6 Re 2.61-2.66, 3 Ir 2.71

Summary:
Crystal system ... tetragonal
Formation energy ... 36 kJ/mol of formula units
Relative energy among the computed polymorphs ... 72.0 meV per atom

# 6
First-principles (PBE) data for a relaxed KNaPmPb crystal, as listed in Alexandria.

Cell: 8.1020 8.1020 8.1020 Å, 90.00 90.00 90.00°
Last column: nearest neighbours and their distance in Å.
Fractional positions:
K  0.0000  0.0000  0.0000  4 Na 3.51, 4 Pb 3.51
K  0.0000  0.5000  0.5000  4 Na 3.51, 4 Pb 3.51
K  0.5000  0.0000  0.5000  4 Na 3.51, 4 Pb 3.51
K  0.5000  0.5000  0.0000  4 Na 3.51, 4 Pb 3.51
Na  0.2500  0.2500  0.2500  4 K 3.51, 4 Pm 3.51
Na  0.2500  0.7500  0.7500  4 K 3.51, 4 Pm 3.51
Na  0.7500  0.2500  0.7500  4 K 3.51, 4 Pm 3.51
Na  0.7500  0.7500  0.2500  4 K 3.51, 4 Pm 3.51
Pm  0.0000  0.0000  0.5000  4 Pb 3.51, 4 Na 3.51
Pm  0.0000  0.5000  0.0000  4 Pb 3.51, 4 Na 3.51
Pm  0.5000  0.0000  0.0000  4 Pb 3.51, 4 Na 3.51
Pm  0.5000  0.5000  0.5000  4 Pb 3.51, 4 Na 3.51
Pb  0.2500  0.2500  0.7500  4 K 3.51, 4 Pm 3.51
Pb  0.2500  0.7500  0.2500  4 K 3.51, 4 Pm 3.51
Pb  0.7500  0.2500  0.2500  4 K 3.51, 4 Pm 3.51
Pb  0.7500  0.7500  0.7500  4 Pm 3.51, 4 K 3.51

Summary:
Crystal system ... cubic
Formation energy ... -14 kJ/mol of formula units

# 7
First-principles (PBE) data for a relaxed Ac3Be2ReN6 crystal, as listed in Alexandria.

Cell: 5.6569 5.6569 6.4807 Å, 90.00 90.00 120.00°
Last column: nearest neighbours and their distance in Å.
Fractional positions:
Ac  0.0000  0.0000  0.0000  6 N 2.64
Ac  0.3333  0.6667  0.6638  1 Be 2.66, 9 N 2.76-2.83
Ac  0.6667  0.3333  0.3362  1 Be 2.66, 9 N 2.76-2.83
Be  0.3333  0.6667  0.2533  3 N 1.64
Be  0.6667  0.3333  0.7467  3 N 1.64
Re  0.0000  0.0000  0.5000  6 N 2.05
N  0.1706  0.3412  0.3156  1 Be 1.64
N  0.1706  0.8294  0.3156  1 Be 1.64
N  0.3412  0.1706  0.6844  1 Be 1.64
N  0.6588  0.8294  0.3156  1 Be 1.64
N  0.8294  0.1706  0.6844  1 Be 1.64
N  0.8294  0.6588  0.6844  1 Be 1.64

Summary:
Energy relative to the elements, uncorrected ... -0.8302 eV per atom
Crystal system ... trigonal

# 8
First-principles (PBE) data for a relaxed LiCd crystal, as listed in Alexandria.

Cell: 6.7287 6.7287 6.7287 Å, 90.00 90.00 90.00°
Last column: nearest neighbours and their distance in Å.
Fractional positions:
Li  0.1250  0.1250  0.1250  4 Cd 2.91, 4 Li 2.91
Li  0.1250  0.6250  0.6250  4 Cd 2.91, 4 Li 2.91
Li  0.3750  0.3750  0.8750  4 Cd 2.91, 4 Li 2.91
Li  0.3750  0.8750  0.3750  4 Cd 2.91, 4 Li 2.91
Li  0.6250  0.1250  0.6250  4 Cd 2.91, 4 Li 2.91
Li  0.6250  0.6250  0.1250  4 Cd 2.91, 4 Li 2.91
Li  0.8750  0.3750  0.3750  4 Cd 2.91, 4 Li 2.91
Li  0.8750  0.8750  0.8750  4 Cd 2.91, 4 Li 2.91
Cd  0.1250  0.1250  0.6250  4 Cd 2.91, 4 Li 2.91
Cd  0.1250  0.6250  0.1250  4 Cd 2.91, 4 Li 2.91
Cd  0.3750  0.3750  0.3750  4 Cd 2.91, 4 Li 2.91
Cd  0.3750  0.8750  0.8750  4 Cd 2.91, 4 Li 2.91
Cd  0.6250  0.1250  0.1250  4 Cd 2.91, 4 Li 2.91
Cd  0.6250  0.6250  0.6250  4 Cd 2.91, 4 Li 2.91
Cd  0.8750  0.3750  0.8750  4 Cd 2.91, 4 Li 2.91
Cd  0.8750  0.8750  0.3750  4 Cd 2.91, 4 Li 2.91

Summary:
Crystal system ... cubic
Formation energy ... -47 kJ/mol of formula units

# 9
First-principles (PBE) data for a relaxed LaScNi2As2 crystal, as listed in Alexandria.

Cell: 4.1305 4.1305 7.3666 Å, 90.00 90.00 120.00°
Last column: nearest neighbours and their distance in Å.
Fractional positions:
La  0.0000  0.0000  0.0000  6 As 3.13, 6 Ni 3.27
Sc  0.0000  0.0000  0.5000  6 Ni 2.79, 6 As 2.91
Ni  0.3333  0.6667  0.6955  3 As 2.39
Ni  0.6667  0.3333  0.3045  3 As 2.39
As  0.3333  0.6667  0.2746  3 Ni 2.39
As  0.6667  0.3333  0.7254  3 Ni 2.39

Summary:
Crystal system ... trigonal
Formation energy ... -595 kJ/mol of formula units

# 10
First-principles (PBE) data for a relaxed LiSc4Ir5 crystal, as listed in Alexandria.

Cell: 3.1965 3.1965 15.6793 Å, 90.00 90.00 90.00°
Last column: nearest neighbours and their distance in Å.
Fractional positions:
Li  0.0000  0.0000  0.0000  8 Ir 2.65, 2 Sc 2.88
Sc  0.0000  0.0000  0.1834  8 Ir 2.70-2.84, 1 Li 2.88
Sc  0.0000  0.0000  0.3945  8 Ir 2.77-2.80
Sc  0.0000  0.0000  0.6055  8 Ir 2.77-2.80
Sc  0.0000  0.0000  0.8166  8 Ir 2.70-2.84, 1 Li 2.88
Ir  0.5000  0.5000  0.0887  4 Li 2.65, 4 Sc 2.70, 1 Ir 2.78
Ir  0.5000  0.5000  0.2927  8 Sc 2.77-2.84
Ir  0.5000  0.5000  0.5000  8 Sc 2.80
Ir  0.5000  0.5000  0.7073  8 Sc 2.77-2.84
Ir  0.5000  0.5000  0.9113  4 Li 2.65, 4 Sc 2.70, 1 Ir 2.78

Summary:
Crystal system ... tetragonal
Formation energy ... -797 kJ/mol of formula units

# 11
First-principles (PBE) data for a relaxed Sr3PuTi2O9 crystal, as listed in Alexandria.

Cell: 5.7332 5.7332 7.1892 Å, 90.00 90.00 120.00°
Last column: nearest neighbours and their distance in Å.
Fractional positions:
Sr  0.0000  0.0000  0.0000  12 O 2.84-2.87
Sr  0.3333  0.6667  0.7018  9 O 2.71-2.87
Sr  0.6667  0.3333  0.2982  9 O 2.71-2.87
Pu  0.0000  0.0000  0.5000  6 O 2.16
Ti  0.3333  0.6667  0.1611  6 O 1.95-2.02
Ti  0.6667  0.3333  0.8389  6 O 1.95-2.02
O  0.0000  0.5000  0.0000  2 Ti 2.02
O  0.1724  0.3449  0.3157  1 Ti 1.95, 1 Pu 2.16
O  0.1724  0.8276  0.3157  1 Ti 1.95, 1 Pu 2.16
O  0.3449  0.1724  0.6843  1 Ti 1.95, 1 Pu 2.16
O  0.5000  0.0000  0.0000  2 Ti 2.02
O  0.5000  0.5000  0.0000  2 Ti 2.02
O  0.6551  0.8276  0.3157  1 Ti 1.95, 1 Pu 2.16
O  0.8276  0.1724  0.6843  1 Ti 1.95, 1 Pu 2.16
O  0.8276  0.6551  0.6843  1 Ti 1.95, 1 Pu 2.16

Summary:
Energy relative to the elements, uncorrected ... -3.0346 eV per atom
Crystal system ... trigonal

Looking at raw total energy for the records above, in order, we have -5.475; -4.035; -2.915; -5.271; -8.832; -2.756; -7.678; -1.660; -6.382; -7.981; -8.354 eV per atom.